1.
A plane-wave DFT calculation with PBE was carried out for a geometry-optimized Rb4LiCr3Br12 structure.

Lattice parameters (Å, degrees): 9.2086 9.2086 9.2086 109.47 109.47 109.47
Element x y z (fractional)
1 Rb 0.0000 0.0000 0.5000
2 Rb 0.0000 0.5000 0.0000
3 Rb 0.5000 0.0000 0.0000
4 Rb 0.5000 0.5000 0.5000
5 Li 0.0000 0.0000 0.0000
6 Cr 0.0000 0.5000 0.5000
7 Cr 0.5000 0.0000 0.5000
8 Cr 0.5000 0.5000 0.0000
9 Br 0.0000 0.2618 0.2618
10 Br 0.0000 0.7382 0.7382
11 Br 0.2500 0.5000 0.7500
12 Br 0.2500 0.7500 0.5000
13 Br 0.2618 0.0000 0.2618
14 Br 0.2618 0.2618 0.0000
15 Br 0.5000 0.2500 0.7500
16 Br 0.5000 0.7500 0.2500
17 Br 0.7382 0.0000 0.7382
18 Br 0.7382 0.7382 0.0000
19 Br 0.7500 0.2500 0.5000
20 Br 0.7500 0.5000 0.2500

- Energy relative to the elements, uncorrected: -24.08 eV per formula unit
- Spin magnetization: 0.550 μB per atom
- Raw total energy: -3.940 eV per atom


2.
A plane-wave DFT calculation with PBE was carried out for a geometry-optimized LiCrSeBr2 structure.

Lattice parameters (Å, degrees): 5.2943 5.2943 4.7737 90.00 90.00 90.00
Element x y z (fractional)
1 Li 0.0000 0.0000 0.0000
2 Cr 0.5000 0.5000 0.5000
3 Se 0.5000 0.5000 0.0000
4 Br 0.0000 0.5000 0.5000
5 Br 0.5000 0.0000 0.5000

- Energy relative to the elements, uncorrected: -2.72 eV per formula unit
- Spin magnetization: 0.600 μB per atom
- Raw total energy: -4.217 eV per atom


3.
A plane-wave DFT calculation with PBE was carried out for a geometry-optimized LiCr2SnBr structure.

Lattice parameters (Å, degrees): 5.1603 5.1603 4.3197 90.00 90.00 90.00
Element x y z (fractional)
1 Li 0.0000 0.0000 0.0000
2 Cr 0.0000 0.5000 0.0000
3 Cr 0.5000 0.0000 0.0000
4 Sn 0.5000 0.5000 0.5000
5 Br 0.0000 0.0000 0.5000

- Energy relative to the elements, uncorrected: 3.93 eV per formula unit
- Spin magnetization: 1.766 μB per atom
- Raw total energy: -4.581 eV per atom


4.
A plane-wave DFT calculation with PBE was carried out for a geometry-optimized Li2TlCrBr6 structure.

Lattice parameters (Å, degrees): 7.7079 7.7079 7.7079 54.10 54.10 54.10
Element x y z (fractional)
1 Li 0.0000 0.0000 0.0000
2 Li 0.4762 0.4762 0.4762
3 Tl 0.1897 0.1897 0.1897
4 Cr 0.6701 0.6701 0.6701
5 Br 0.0541 0.4425 0.7273
6 Br 0.2806 0.8405 0.6548
7 Br 0.4425 0.7273 0.0541
8 Br 0.6548 0.2806 0.8405
9 Br 0.7273 0.0541 0.4425
10 Br 0.8405 0.6548 0.2806

- Energy relative to the elements, uncorrected: -10.38 eV per formula unit
- Spin magnetization: 0.298 μB per atom
- Raw total energy: -3.623 eV per atom


5.
A plane-wave DFT calculation with PBE was carried out for a geometry-optimized LiTl2CrBr structure.

Lattice parameters (Å, degrees): 5.4284 5.4284 5.3626 90.00 90.00 90.00
Element x y z (fractional)
1 Li 0.0000 0.0000 0.0000
2 Tl 0.0000 0.5000 0.5000
3 Tl 0.5000 0.0000 0.5000
4 Cr 0.0000 0.0000 0.5000
5 Br 0.5000 0.5000 0.0000

- Energy relative to the elements, uncorrected: 1.25 eV per formula unit
- Spin magnetization: 0.949 μB per atom
- Raw total energy: -3.339 eV per atom


6.
A plane-wave DFT calculation with PBE was carried out for a geometry-optimized Li3Tl3CrBr8 structure.

Lattice parameters (Å, degrees): 8.1310 8.1310 9.0372 116.74 116.74 59.94
Element x y z (fractional)
1 Li 0.0000 0.0000 0.0000
2 Li 0.0000 0.5000 0.0000
3 Li 0.5000 0.0000 0.0000
4 Tl 0.0000 0.5000 0.5000
5 Tl 0.5000 0.0000 0.5000
6 Tl 0.5000 0.5000 0.5000
7 Cr 0.5000 0.5000 0.0000
8 Br 0.2317 0.2317 0.1945
9 Br 0.2420 0.7242 0.1900
10 Br 0.2759 0.2759 0.8101
11 Br 0.2758 0.7580 0.8100
12 Br 0.7242 0.2420 0.1900
13 Br 0.7241 0.7241 0.1899
14 Br 0.7580 0.2758 0.8100
15 Br 0.7683 0.7683 0.8055

- Energy relative to the elements, uncorrected: -15.59 eV per formula unit
- Spin magnetization: 0.267 μB per atom
- Raw total energy: -3.429 eV per atom


7.
A plane-wave DFT calculation with PBE was carried out for a geometry-optimized LiTl2CrBr6 structure.

Lattice parameters (Å, degrees): 7.3518 7.4479 12.8510 90.00 124.66 90.00
Element x y z (fractional)
1 Li 0.0000 0.0000 0.0000
2 Li 0.0000 0.5000 0.5000
3 Tl 0.2374 0.0527 0.7500
4 Tl 0.2374 0.4473 0.2500
5 Tl 0.7626 0.5527 0.7500
6 Tl 0.7626 0.9473 0.2500
7 Cr 0.5000 0.0000 0.5000
8 Cr 0.5000 0.5000 0.0000
9 Br 0.1923 0.1988 0.4693
10 Br 0.1923 0.3012 0.9693
11 Br 0.2762 0.7223 0.4732
12 Br 0.2762 0.7777 0.9732
13 Br 0.3226 0.0010 0.2633
14 Br 0.3226 0.4990 0.7633
15 Br 0.6774 0.5010 0.2367
16 Br 0.6774 0.9990 0.7367
17 Br 0.7238 0.2223 0.0268
18 Br 0.7238 0.2777 0.5268
19 Br 0.8077 0.6988 0.0307
20 Br 0.8077 0.8012 0.5307

- Energy relative to the elements, uncorrected: -9.26 eV per formula unit
- Spin magnetization: 0.299 μB per atom
- Raw total energy: -3.557 eV per atom


8.
A plane-wave DFT calculation with PBE was carried out for a geometry-optimized Mg2CrBr structure.

Lattice parameters (Å, degrees): 5.1405 5.1405 5.1405 60.00 60.00 60.00
Element x y z (fractional)
1 Mg 0.2500 0.2500 0.2500
2 Mg 0.7500 0.7500 0.7500
3 Cr 0.0000 0.0000 0.0000
4 Br 0.5000 0.5000 0.5000

- Energy relative to the elements, uncorrected: 1.72 eV per formula unit
- Spin magnetization: 1.116 μB per atom
- Raw total energy: -3.190 eV per atom